DFT (GGA-PBE) results for a relaxed structure of In2HgCl.

Structure (POSCAR):
```
In2HgCl
1.0
3.630 0.000 0.000
0.000 5.132 0.000
0.000 0.000 5.838
In Hg Cl
2 1 1
direct
0.000 0.000 0.000
0.500 0.000 0.500
0.000 0.500 0.500
0.500 0.500 0.000
```

Results
Energy above the most stable polymorph in this dataset ... 0.0805 eV/atom
Symmetry ... No. 47
Uncorrected formation energy ... -291 meV/atom

=====

DFT (GGA-PBE) results for a relaxed structure of AcPbAu4.

Structure (POSCAR):
```
AcPbAu4
1.0
10.491 0.000 0.000
0.000 14.631 0.000
0.000 0.000 4.063
Ac Pb Au
4 4 16
direct
0.098 0.137 0.000
0.402 0.637 0.000
0.598 0.363 0.000
0.902 0.863 0.000
0.147 0.425 0.000
0.353 0.925 0.000
0.647 0.075 0.000
0.853 0.575 0.000
0.024 0.297 0.500
0.115 0.952 0.500
0.173 0.579 0.500
0.215 0.773 0.500
0.285 0.273 0.500
0.327 0.079 0.500
0.385 0.452 0.500
0.476 0.797 0.500
0.524 0.203 0.500
0.615 0.548 0.500
0.673 0.921 0.500
0.715 0.727 0.500
0.785 0.227 0.500
0.827 0.421 0.500
0.885 0.048 0.500
0.976 0.703 0.500
```

Results
Energy above the most stable polymorph in this dataset ... 0.0282 eV/atom
Symmetry ... No. 55
Formation energy from the elements ... -242 kJ/mol of formula units